The following is a GGA-PBE calculation of an optimized crystal structure of Er8AuC4, from Alexandria via LeMat-Bulk.

Cell and atoms, written as POSCAR:
```
Er8AuC4
1.0
8.619 -1.807 0.000
8.619 1.807 0.000
-8.614 0.000 8.623
Er Au C
8 1 4
Cartesian
-0.973 0.000 1.769 Er
1.507 0.000 4.001 Er
-1.761 0.000 7.650 Er
4.618 0.000 1.505 Er
4.007 0.000 7.117 Er
10.386 0.000 0.973 Er
7.118 0.000 4.621 Er
9.598 0.000 6.854 Er
-4.307 0.000 4.311 Au
-5.751 0.000 8.416 C
-0.201 0.000 5.758 C
8.826 0.000 2.864 C
14.376 0.000 0.206 C
```

## Properties
calculated density	9.79	g cm⁻³
crystal system	monoclinic
formation energy from the elements	-0.33	eV/atom
SG	C2/m, No. 12

---

The following is a GGA-PBE calculation of an optimized crystal structure of HoCo2SiC, from Alexandria via LeMat-Bulk.

Cell and atoms, written as POSCAR:
```
HoCo2SiC
1.0
1.847 -5.247 0.000
1.847 5.247 0.000
0.000 0.000 6.708
Ho Co Si C
2 4 2 2
Cartesian
1.847 4.715 5.031 Ho
1.847 -4.715 1.677 Ho
1.847 1.717 3.732 Co
1.847 1.717 6.331 Co
1.847 -1.717 0.378 Co
1.847 -1.717 2.976 Co
1.847 2.852 1.677 Si
1.847 -2.852 5.031 Si
1.847 0.000 0.000 C
1.847 0.000 3.354 C
```

## Properties
raw formation energy	-0.603	eV per atom
calculated density	8.25	g cm⁻³
crystal system	orthorhombic
SG	Cmcm, No. 63

---

The following is a GGA-PBE calculation of an optimized crystal structure of Be2CdMo, from Alexandria via LeMat-Bulk.

Cell and atoms, written as POSCAR:
```
Be2CdMo
1.0
2.764 0.000 0.000
0.000 3.389 0.000
0.000 0.000 5.845
Be Cd Mo
2 1 1
Cartesian
0.000 0.000 1.176 Be
0.000 0.000 4.668 Be
1.382 1.694 2.922 Cd
1.382 1.694 0.000 Mo
```

## Properties
calculated density	6.87	g cm⁻³
crystal system	orthorhombic
formation energy from the elements	0.26	eV/atom
SG	Pmmm, No. 47

---

The following is a GGA-PBE calculation of an optimized crystal structure of SbAs2W, from Alexandria via LeMat-Bulk.

Cell and atoms, written as POSCAR:
```
SbAs2W
1.0
4.381 -1.672 0.000
4.381 1.672 0.000
-0.889 0.000 5.397
Sb As W
1 2 1
Cartesian
0.000 0.000 0.000 Sb
1.347 0.000 3.719 As
6.527 0.000 1.677 As
3.937 0.000 2.698 W
```

## Properties
raw formation energy	0.395	eV per atom
calculated density	9.57	g cm⁻³
crystal system	monoclinic
SG	C2/m, No. 12